Record 1
DFT (PBE-GGA) results for an optimized crystal structure of ThSnSb.

Cell lengths 3.4300, 5.4358, 5.6433 Å; angles 90.00, 90.00, 90.00 degrees
Element x y z (fractional)
Th (0.0000, 0.0000, 0.0000)
Sn (0.5000, 0.0000, 0.5000)
Sb (0.5000, 0.5000, 0.0000)

Formation energy without anion corrections = -268 meV per atom
Energy relative to the lowest polymorph listed for this composition = 375 meV per atom
Size of the total moment = 0.0 μB per cell
Final energy = -5.450 eV/atom

=====

Record 2
DFT (PBE-GGA) results for an optimized crystal structure of MgPb2W.

Cell lengths 3.2872, 4.8705, 5.6601 Å; angles 90.00, 90.00, 90.00 degrees
Element x y z (fractional)
Mg (0.0000, 0.0000, 0.0000)
Pb (0.0000, 0.5000, 0.5000)
Pb (0.5000, 0.5000, 0.0000)
W (0.5000, 0.0000, 0.5000)

Size of the total moment = 0.0 μB per cell
Final energy = -4.698 eV/atom
Energy of formation from the pure elements = 0.7934 eV/atom

=====

Record 3
DFT (PBE-GGA) results for an optimized crystal structure of Cs2PaTe3.

Cell lengths 8.8395, 8.8395, 8.0768 Å; angles 103.13, 103.13, 112.03 degrees
Element x y z (fractional)
Cs (0.0713, 0.9287, 0.7500)
Cs (0.2266, 0.7734, 0.2500)
Cs (0.7734, 0.2266, 0.7500)
Cs (0.9287, 0.0713, 0.2500)
Pa (0.4077, 0.5923, 0.7500)
Pa (0.5923, 0.4077, 0.2500)
Te (0.0000, 0.5000, 0.5000)
Te (0.2624, 0.3920, 0.9910)
Te (0.3920, 0.2624, 0.4910)
Te (0.5000, 0.0000, 0.0000)
Te (0.6080, 0.7376, 0.5090)
Te (0.7376, 0.6080, 0.0090)

Formation energy without anion corrections = -918 meV per atom
Energy relative to the lowest polymorph listed for this composition = 92 meV per atom
Size of the total moment = 2.0 μB per cell
Final energy = -4.356 eV/atom

=====

Record 4
DFT (PBE-GGA) results for an optimized crystal structure of MgCo2Mo.

Cell lengths 4.7771, 4.7771, 4.5138 Å; angles 103.54, 103.54, 32.25 degrees
Element x y z (fractional)
Mg (0.0000, 0.0000, 0.0000)
Co (0.2445, 0.2445, 0.8353)
Co (0.5356, 0.5356, 0.5189)
Mo (0.7844, 0.7844, 0.3584)

Size of the total moment = 0.5 μB per cell
Final energy = -6.499 eV/atom
Energy of formation from the pure elements = 0.1606 eV/atom

=====

Record 5
DFT (PBE-GGA) results for an optimized crystal structure of ZrCdAu.

Cell lengths 4.8688, 4.8688, 5.9425 Å; angles 90.00, 90.00, 120.00 degrees
Element x y z (fractional)
Zr (0.3333, 0.6667, 0.2500)
Zr (0.6667, 0.3333, 0.7500)
Cd (0.0000, 0.0000, 0.0000)
Cd (0.0000, 0.0000, 0.5000)
Au (0.3333, 0.6667, 0.7500)
Au (0.6667, 0.3333, 0.2500)

Size of the total moment = 0.0 μB per cell
Final energy = -4.657 eV/atom
Energy of formation from the pure elements = -0.4099 eV/atom

=====

Record 6
DFT (PBE-GGA) results for an optimized crystal structure of CoSbPb2.

Cell lengths 5.2219, 5.2219, 5.2219 Å; angles 60.00, 60.00, 60.00 degrees
Element x y z (fractional)
Co (0.0000, 0.0000, 0.0000)
Sb (0.5000, 0.5000, 0.5000)
Pb (0.2500, 0.2500, 0.2500)
Pb (0.7500, 0.7500, 0.7500)

Formation energy without anion corrections = 591 meV per atom
Energy relative to the lowest polymorph listed for this composition = 460 meV per atom
Size of the total moment = 1.4 μB per cell
Final energy = -4.070 eV/atom

=====

Record 7
DFT (PBE-GGA) results for an optimized crystal structure of NaNp2Bi9.

Cell lengths 4.9286, 4.9286, 14.8128 Å; angles 90.00, 90.00, 90.00 degrees
Element x y z (fractional)
Na (0.0000, 0.0000, 0.0000)
Np (0.0000, 0.0000, 0.3399)
Np (0.0000, 0.0000, 0.6601)
Bi (0.0000, 0.5000, 0.1696)
Bi (0.0000, 0.5000, 0.5000)
Bi (0.0000, 0.5000, 0.8304)
Bi (0.5000, 0.0000, 0.1696)
Bi (0.5000, 0.0000, 0.5000)
Bi (0.5000, 0.0000, 0.8304)
Bi (0.5000, 0.5000, 0.0000)
Bi (0.5000, 0.5000, 0.3321)
Bi (0.5000, 0.5000, 0.6679)

Size of the total moment = 8.4 μB per cell
Final energy = -5.224 eV/atom
Energy of formation from the pure elements = -0.0468 eV/atom

=====

Record 8
DFT (PBE-GGA) results for an optimized crystal structure of Dy4AsSe2Cl.

Cell lengths 7.0438, 4.0976, 7.0733 Å; angles 90.00, 109.66, 90.00 degrees
Element x y z (fractional)
Dy (0.2258, 0.0000, 0.2345)
Dy (0.2315, 0.5000, 0.7509)
Dy (0.7685, 0.5000, 0.2491)
Dy (0.7742, 0.0000, 0.7655)
As (0.0000, 0.0000, 0.5000)
Se (0.0000, 0.5000, 0.0000)
Se (0.5000, 0.0000, 0.0000)
Cl (0.5000, 0.5000, 0.5000)

Formation energy without anion corrections = -1575 meV per atom
Size of the total moment = 0.0 μB per cell
Final energy = -5.559 eV/atom

=====

Record 9
DFT (PBE-GGA) results for an optimized crystal structure of Pm2Ga5Cu3.

Cell lengths 8.4045, 8.4045, 8.4045 Å; angles 105.11, 89.44, 138.52 degrees
Element x y z (fractional)
Pm (0.1297, 0.2397, 0.3694)
Pm (0.3703, 0.7397, 0.1100)
Pm (0.6297, 0.2603, 0.8900)
Pm (0.8703, 0.7603, 0.6306)
Ga (0.0144, 0.7500, 0.2644)
Ga (0.1093, 0.6501, 0.7594)
Ga (0.2500, 0.2500, 0.0000)
Ga (0.3907, 0.1501, 0.5408)
Ga (0.4856, 0.7500, 0.7356)
Ga (0.5144, 0.2500, 0.2644)
Ga (0.6093, 0.8499, 0.4592)
Ga (0.7500, 0.7500, 0.0000)
Ga (0.8907, 0.3499, 0.2406)
Ga (0.9856, 0.2500, 0.7356)
Cu (0.1318, 0.8836, 0.0154)
Cu (0.2500, 0.7500, 0.5000)
Cu (0.3682, 0.3836, 0.7518)
Cu (0.6318, 0.6164, 0.2482)
Cu (0.7500, 0.2500, 0.5000)
Cu (0.8682, 0.1164, 0.9846)

Size of the total moment = 0.0 μB per cell
Final energy = -4.195 eV/atom
Energy of formation from the pure elements = -0.5022 eV/atom

=====

Record 10
DFT (PBE-GGA) results for an optimized crystal structure of DySc2Pt9.

Cell lengths 4.0464, 4.0464, 12.1304 Å; angles 90.00, 90.00, 90.00 degrees
Element x y z (fractional)
Dy (0.0000, 0.0000, 0.0000)
Sc (0.0000, 0.0000, 0.3356)
Sc (0.0000, 0.0000, 0.6644)
Pt (0.0000, 0.5000, 0.1743)
Pt (0.0000, 0.5000, 0.5000)
Pt (0.0000, 0.5000, 0.8257)
Pt (0.5000, 0.0000, 0.1743)
Pt (0.5000, 0.0000, 0.5000)
Pt (0.5000, 0.0000, 0.8257)
Pt (0.5000, 0.5000, 0.0000)
Pt (0.5000, 0.5000, 0.3369)
Pt (0.5000, 0.5000, 0.6631)

Size of the total moment = 0.0 μB per cell
Final energy = -7.021 eV/atom
Energy of formation from the pure elements = -1.0516 eV/atom

=====

Record 11
DFT (PBE-GGA) results for an optimized crystal structure of Na2Nd2PtO6.

Cell lengths 6.6292, 6.6292, 6.6949 Å; angles 91.18, 91.18, 88.96 degrees
Element x y z (fractional)
Na (0.0000, 0.0000, 0.0000)
Na (0.5071, 0.1421, 0.8548)
Na (0.5107, 0.4893, 0.5000)
Na (0.8579, 0.4929, 0.1452)
Nd (0.1426, 0.8574, 0.5000)
Nd (0.3767, 0.6233, 0.0000)
Nd (0.6403, 0.0036, 0.3502)
Nd (0.9964, 0.3597, 0.6498)
Pt (0.2457, 0.2450, 0.2442)
Pt (0.7550, 0.7543, 0.7558)
O (0.0616, 0.6960, 0.8106)
O (0.1789, 0.3058, 0.9469)
O (0.1992, 0.5425, 0.3220)
O (0.3040, 0.9384, 0.1894)
O (0.3194, 0.1852, 0.5341)
O (0.4575, 0.8008, 0.6780)
O (0.5354, 0.3196, 0.1902)
O (0.6804, 0.4646, 0.8098)
O (0.6942, 0.8211, 0.0531)
O (0.8148, 0.6806, 0.4659)
O (0.8391, 0.0436, 0.6822)
O (0.9564, 0.1609, 0.3178)

Formation energy without anion corrections = -2125 meV per atom
Size of the total moment = 0.0 μB per cell
Final energy = -6.486 eV/atom

=====

Record 12
DFT (PBE-GGA) results for an optimized crystal structure of Sm2Y5Th2.

Cell lengths 11.4892, 11.4892, 8.1813 Å; angles 100.15, 100.15, 17.51 degrees
Element x y z (fractional)
Sm (0.1702, 0.1702, 0.1589)
Sm (0.8298, 0.8298, 0.8411)
Y (0.0000, 0.0000, 0.0000)
Y (0.0903, 0.0903, 0.7297)
Y (0.3074, 0.3074, 0.4511)
Y (0.6926, 0.6926, 0.5489)
Y (0.9097, 0.9097, 0.2703)
Th (0.4479, 0.4479, 0.6456)
Th (0.5521, 0.5521, 0.3544)

Size of the total moment = 0.0 μB per cell
Final energy = -6.012 eV/atom
Energy of formation from the pure elements = 0.2770 eV/atom